Density functional theory data (meta-GGA SCAN) for a PBEsol-optimized structure of GaSbMo3.

Output
energy relative to the elements, uncorrected	2.07	eV per atom
energy above the lowest structure with this stoichiometry	66.0	kJ per mole of atoms
size of the total moment	0.001	Bohr magnetons per cell
total energy	-29.5839	eV/atom

a = 4.8281 Å, b = 4.8281 Å, c = 4.8281 Å
α = 90.00°, β = 90.00°, γ = 90.00°
Sites, in units of the cell vectors:
1 Ga 0.0000 0.0000 0.0000
2 Sb 0.5000 0.5000 0.5000
3 Mo 0.0000 0.5000 0.5000
4 Mo 0.5000 0.0000 0.5000
5 Mo 0.5000 0.5000 0.0000

=====

Density functional theory data (meta-GGA SCAN) for a PBEsol-optimized structure of LiTa2Pb.

Output
size of the total moment	0.000	Bohr magnetons per cell
total energy	-52.6266	eV/atom
DFT formation energy	0.2078	eV/atom

a = 3.9191 Å, b = 3.9191 Å, c = 4.6445 Å
α = 90.00°, β = 90.00°, γ = 90.00°
Sites, in units of the cell vectors:
1 Li 0.0000 0.0000 0.0000
2 Ta 0.0000 0.5000 0.5000
3 Ta 0.5000 0.0000 0.5000
4 Pb 0.5000 0.5000 0.0000